Material: DyPIr3
Method: DFT, PBE
State: relaxed

Computed properties:
DOS at the Fermi energy in states/eV/cell: 7.9
Total magnetization in μB/atom: 0.00
Energy in eV per atom: -8.11
Formation enthalpy at 0 K in eV per atom: -0.79

a = 3.9868 Å, b = 3.9868 Å, c = 10.6236 Å
α = 90.00°, β = 90.00°, γ = 90.00°
Space group I4mm (No. 107)
Inequivalent atoms, fractional coordinates:
Dy (0.0000, 0.0000, 0.0000)
P (0.0000, 0.0000, 0.6252)
Ir (0.0000, 0.0000, 0.4154)
Ir (0.0000, 0.5000, 0.2425)


Material: SrCdGaSb2
Method: DFT, PBE
State: relaxed

Computed properties:
DOS at the Fermi energy in states/eV/cell: 6.7
Total magnetization in μB/atom: 0.00
Energy in eV per atom: -3.13
Uncorrected formation energy in meV/atom: -357.4

a = 16.2788 Å, b = 4.7046 Å, c = 11.6596 Å
α = 90.00°, β = 132.38°, γ = 90.00°
Space group C2/m (No. 12)
Inequivalent atoms, fractional coordinates:
Sr (0.0905, 0.0000, 0.3766)
Cd (0.2135, 0.0000, 0.0437)
Ga (0.1473, 0.5000, 0.1926)
Sb (0.0671, 0.5000, 0.8900)
Sb (0.2158, 0.5000, 0.6551)